Computed, not measured: a relaxed ErMgCuSe3 crystal at the PBE-GGA level of DFT. Values from VASP.

Cell and atoms, written as Quantum ESPRESSO input:
```
&SYSTEM
  ibrav = 0, nat = 12, ntyp = 4
/
ATOMIC_SPECIES
Er 167.26 Er.upf
Mg 24.30 Mg.upf
Cu 63.55 Cu.upf
Se 78.96 Se.upf
ATOMIC_POSITIONS angstrom
Er 1.0937 0.9630 1.5727
Er 4.8460 2.8889 7.4337
Mg 1.0268 2.8889 6.5008
Mg 4.9129 0.9630 2.5056
Cu 2.4917 2.8889 3.7788
Cu 3.4481 0.9630 5.2276
Se -0.7480 0.9630 7.6364
Se 0.9825 0.9630 4.3991
Se 3.1248 2.8889 1.4059
Se 2.8149 0.9630 7.6005
Se 4.9572 2.8889 4.6073
Se 6.6877 2.8889 1.3700
CELL_PARAMETERS angstrom
7.6796 0.0000 0.0000
0.0000 3.8519 0.0000
-1.7399 0.0000 9.0064
```

volume: 22.20 Å³/atom
raw total energy: -4.54 eV per atom
distance to the lowest polymorph of the same formula: 0 meV per atom
total magnetization: 0.00 μB/f.u.
space group: P2_1/m

***

Computed, not measured: a relaxed LiZnSn2 crystal at the PBE-GGA level of DFT. Values from VASP.

Cell and atoms, written as Quantum ESPRESSO input:
```
&SYSTEM
  ibrav = 0, nat = 4, ntyp = 3
/
ATOMIC_SPECIES
Li 6.94 Li.upf
Zn 65.41 Zn.upf
Sn 118.71 Sn.upf
ATOMIC_POSITIONS angstrom
Li 0.0000 0.0000 0.0000
Zn 1.7822 1.7822 1.7822
Sn 3.5643 3.5643 3.5643
Sn 5.3465 5.3465 5.3465
CELL_PARAMETERS angstrom
0.0000 3.5643 3.5643
3.5643 0.0000 3.5643
3.5643 3.5643 0.0000
```

volume: 22.64 Å³/atom
raw total energy: -2.80 eV per atom
space group: F-43m

***

Computed, not measured: a relaxed Ag15Sb crystal at the PBE-GGA level of DFT. Values from VASP.

Cell and atoms, written as Quantum ESPRESSO input:
```
&SYSTEM
  ibrav = 0, nat = 32, ntyp = 2
/
ATOMIC_SPECIES
Ag 107.87 Ag.upf
Sb 121.76 Sb.upf
ATOMIC_POSITIONS angstrom
Ag 1.0233 0.0000 1.0488
Ag 1.0233 0.0000 5.2319
Ag 1.0233 0.0000 9.4053
Ag 1.0233 0.0000 13.6181
Ag 1.0233 0.0000 28.7869
Ag 1.0233 0.0000 33.0831
Ag 1.0233 0.0000 37.2547
Ag 1.0233 0.0000 41.4260
Ag 1.0233 2.0501 3.1464
Ag 1.0233 2.0501 7.3275
Ag 1.0233 2.0501 11.5164
Ag 1.0233 2.0501 30.9539
Ag 1.0233 2.0501 35.1611
Ag 1.0233 2.0501 39.3323
Ag 1.0233 2.0501 43.5201
Ag 3.0700 0.0000 3.1444
Ag 3.0700 0.0000 7.3158
Ag 3.0700 0.0000 11.4873
Ag 3.0700 0.0000 15.7835
Ag 3.0700 0.0000 30.9524
Ag 3.0700 0.0000 35.1651
Ag 3.0700 0.0000 39.3385
Ag 3.0700 0.0000 43.5216
Ag 3.0700 2.0501 1.0503
Ag 3.0700 2.0501 5.2381
Ag 3.0700 2.0501 9.4094
Ag 3.0700 2.0501 13.6165
Ag 3.0700 2.0501 33.0540
Ag 3.0700 2.0501 37.2429
Ag 3.0700 2.0501 41.4241
Sb 1.0233 2.0501 15.8840
Sb 3.0700 2.0501 28.6865
CELL_PARAMETERS angstrom
4.0933 0.0000 0.0000
0.0000 4.1001 0.0000
0.0000 0.0000 44.5704
```

volume: 23.38 Å³/atom
raw total energy: -2.87 eV per atom
distance to the lowest polymorph of the same formula: 0 meV per atom
space group: Pmma

***

Computed, not measured: a relaxed Li2ZrAlSe4 crystal at the PBE-GGA level of DFT. Values from VASP.

Cell and atoms, written as Quantum ESPRESSO input:
```
&SYSTEM
  ibrav = 0, nat = 8, ntyp = 4
/
ATOMIC_SPECIES
Li 6.94 Li.upf
Zr 91.22 Zr.upf
Al 26.98 Al.upf
Se 78.96 Se.upf
ATOMIC_POSITIONS angstrom
Li 0.0000 0.0000 0.0000
Li 0.0000 2.9600 2.9144
Zr 2.9600 0.0000 2.9144
Al 0.0000 0.0000 5.8287
Se 1.5645 1.5391 -1.3862
Se 1.4209 -1.3956 7.2150
Se 1.3956 1.4209 4.4425
Se 1.5391 4.3556 1.3862
CELL_PARAMETERS angstrom
-2.9600 2.9600 5.8287
2.9600 -2.9600 5.8287
2.9600 2.9600 -5.8287
```

volume: 25.53 Å³/atom
raw total energy: -4.79 eV per atom
total magnetization: 1.00 μB/f.u.
space group: I-4

***

Computed, not measured: a relaxed Pr2YZn4Ge4 crystal at the PBE-GGA level of DFT. Values from VASP.

Cell and atoms, written as Quantum ESPRESSO input:
```
&SYSTEM
  ibrav = 0, nat = 11, ntyp = 4
/
ATOMIC_SPECIES
Pr 140.91 Pr.upf
Y 88.91 Y.upf
Zn 65.41 Zn.upf
Ge 72.64 Ge.upf
ATOMIC_POSITIONS angstrom
Pr 0.0000 0.0000 3.6485
Pr 0.0000 0.0000 21.7299
Y 0.0000 2.1347 0.0000
Zn 2.0916 0.0000 6.3363
Zn 0.0000 0.0000 10.3250
Zn 0.0000 0.0000 15.0534
Zn 0.0000 2.1347 6.3530
Ge 2.0916 0.0000 1.2255
Ge 0.0000 0.0000 7.8637
Ge 0.0000 0.0000 17.5147
Ge 0.0000 2.1347 11.4637
CELL_PARAMETERS angstrom
-2.0916 2.1347 12.6892
2.0916 -2.1347 12.6892
2.0916 2.1347 -12.6892
```

volume: 20.60 Å³/atom
raw total energy: -4.16 eV per atom
total magnetization: 0.00 μB/f.u.
space group: Immm

***

Computed, not measured: a relaxed Cs2Cd2BiAs crystal at the PBE-GGA level of DFT. Values from VASP.

Cell and atoms, written as Quantum ESPRESSO input:
```
&SYSTEM
  ibrav = 0, nat = 6, ntyp = 4
/
ATOMIC_SPECIES
Cs 132.91 Cs.upf
Cd 112.41 Cd.upf
Bi 208.98 Bi.upf
As 74.92 As.upf
ATOMIC_POSITIONS angstrom
Cs 0.0000 0.0000 0.0000
Cs 2.4555 2.4555 2.8755
Cd 0.0000 2.4555 5.8184
Cd 2.4555 0.0000 5.8184
Bi 2.4555 2.4555 7.6120
As 0.0000 0.0000 4.2816
CELL_PARAMETERS angstrom
4.9110 0.0000 0.0000
0.0000 4.9110 0.0000
0.0000 0.0000 9.0569
```

volume: 36.41 Å³/atom
raw total energy: -2.39 eV per atom
space group: P4mm

***

Computed, not measured: a relaxed ReAu crystal at the PBE-GGA level of DFT. Values from VASP.

Cell and atoms, written as Quantum ESPRESSO input:
```
&SYSTEM
  ibrav = 0, nat = 2, ntyp = 2
/
ATOMIC_SPECIES
Re 186.21 Re.upf
Au 196.97 Au.upf
ATOMIC_POSITIONS angstrom
Re 0.0000 0.0000 0.0000
Au 0.0000 1.6174 2.3532
CELL_PARAMETERS angstrom
2.8015 0.0000 0.0000
-1.4007 2.4262 0.0000
0.0000 0.0000 4.7065
```

volume: 15.99 Å³/atom
raw total energy: -7.26 eV per atom
formation energy: 0.58 eV/atom
distance to the lowest polymorph of the same formula: 0 meV per atom
total magnetization: 0.00 μB/f.u.
space group: P-6m2

***

Computed, not measured: a relaxed HoCo3 crystal at the PBE-GGA level of DFT. Values from VASP.

Cell and atoms, written as Quantum ESPRESSO input:
```
&SYSTEM
  ibrav = 0, nat = 4, ntyp = 2
/
ATOMIC_SPECIES
Ho 164.93 Ho.upf
Co 58.93 Co.upf
ATOMIC_POSITIONS angstrom
Ho 0.0000 0.0000 0.0000
Co 0.0000 1.9169 1.9169
Co 1.9169 0.0000 1.9169
Co 1.9169 1.9169 0.0000
CELL_PARAMETERS angstrom
3.8339 0.0000 0.0000
0.0000 3.8339 0.0000
0.0000 0.0000 3.8339
```

volume: 14.09 Å³/atom
raw total energy: -6.35 eV per atom
formation energy: 0.12 eV/atom
total magnetization: 3.52 μB/f.u.
space group: Pm-3m

***

Question: What is the formula in the first record?
Answer: ErMgCuSe3